1.
## InSb2Ir (PBE)

Data for a relaxed structure of InSb2Ir.

Values from the calculation:
Total DFT energy (no corrections)   -4.585 eV per atom
Energy relative to the elements, uncorrected   376 meV per atom
DOS(E_F)   4.15 states/eV per cell

abc: 5.9196 7.8946 3.8228
angles: 90.00 90.12 90.00
Closest atoms and distances in Å follow each position.
Fractional positions:
In1 0.0000 0.0000 0.0000  2 Ir 2.96, 8 Sb 3.12
In2 0.5000 0.5000 0.0000  2 Ir 2.96, 8 Sb 3.12
Sb1 0.2500 0.2500 0.5000  2 Sb 2.96, 4 In 3.12, 4 Ir 3.12
Sb2 0.2500 0.7500 0.5000  2 Sb 2.96, 4 In 3.12, 4 Ir 3.12
Sb3 0.7500 0.2500 0.5000  2 Sb 2.96, 4 In 3.12, 4 Ir 3.12
Sb4 0.7500 0.7500 0.5000  2 Sb 2.96, 4 In 3.12, 4 Ir 3.12
Ir1 0.0000 0.5000 0.0000  2 In 2.96, 8 Sb 3.12
Ir2 0.5000 0.0000 0.0000  2 In 2.96, 8 Sb 3.12


2.
## InSb2Ir (PBE)

Data for a relaxed structure of InSb2Ir.

Values from the calculation:
Total DFT energy (no corrections)   -4.933 eV per atom
Energy relative to the elements, uncorrected   28 meV per atom
DOS(E_F)   1.46 states/eV per cell

abc: 4.6568 3.1874 6.8895
angles: 90.00 109.69 90.00
Closest atoms and distances in Å follow each position.
Fractional positions:
In1 0.0000 0.0000 0.0000  4 Ir 2.83
Sb1 0.3091 0.0000 0.6196  2 Ir 2.76
Sb2 0.6883 0.5000 0.3777  1 Ir 2.66
Ir1 0.4840 0.5000 0.9676  3 Sb 2.66-2.76, 4 In 2.83


3.
## InSbIr2 (PBE)

Data for a relaxed structure of InSbIr2.

Values from the calculation:
Total DFT energy (no corrections)   -6.006 eV per atom
Energy relative to the elements, uncorrected   139 meV per atom
DOS(E_F)   4.65 states/eV per cell

abc: 4.3650 4.3650 7.4743
angles: 90.00 90.00 90.00
Closest atoms and distances in Å follow each position.
Fractional positions:
In1 0.0000 0.0000 0.0000  8 Ir 2.87, 4 Sb 3.09
In2 0.5000 0.5000 0.5000  8 Ir 2.87, 4 Sb 3.09
Sb1 0.0000 0.0000 0.5000  8 Ir 2.87, 4 In 3.09
Sb2 0.5000 0.5000 0.0000  8 Ir 2.87, 4 In 3.09
Ir1 0.0000 0.5000 0.2500  4 In 2.87, 4 Sb 2.87, 4 Ir 3.09
Ir2 0.0000 0.5000 0.7500  4 Sb 2.87, 4 In 2.87, 4 Ir 3.09
Ir3 0.5000 0.0000 0.2500  4 In 2.87, 4 Sb 2.87, 4 Ir 3.09
Ir4 0.5000 0.0000 0.7500  4 Sb 2.87, 4 In 2.87, 4 Ir 3.09


4.
## In3SbIr (PBE)

Data for a relaxed structure of In3SbIr.

Values from the calculation:
Total DFT energy (no corrections)   -4.131 eV per atom
Energy relative to the elements, uncorrected   108 meV per atom
DOS(E_F)   4.36 states/eV per cell

abc: 5.1846 5.1846 5.1846
angles: 90.00 90.00 90.00
Closest atoms and distances in Å follow each position.
Fractional positions:
In1 0.0000 0.0000 0.5000  2 Ir 2.59
In2 0.0000 0.5000 0.0000  2 Ir 2.59
In3 0.5000 0.0000 0.0000  2 Ir 2.59
Sb1 0.5000 0.5000 0.5000  12 In 3.67
Ir1 0.0000 0.0000 0.0000  6 In 2.59


5.
## InSb2Ir (PBE)

Data for a relaxed structure of InSb2Ir.

Values from the calculation:
Total DFT energy (no corrections)   -4.827 eV per atom
Energy relative to the elements, uncorrected   134 meV per atom
DOS(E_F)   9.60 states/eV per cell

abc: 6.4123 6.4123 12.2185
angles: 90.00 90.00 90.00
Closest atoms and distances in Å follow each position.
Fractional positions:
In1 0.0000 0.0000 0.0000  4 Sb 2.94
In2 0.0000 0.5000 0.2500  4 Sb 2.94
In3 0.5000 0.0000 0.7500  4 Sb 2.94
In4 0.5000 0.5000 0.5000  4 Sb 2.94
Sb1 0.1978 0.2500 0.6250  2 Ir 2.55
Sb2 0.2500 0.6978 0.8750  2 Ir 2.55
Sb3 0.2500 0.8022 0.3750  2 Ir 2.55
Sb4 0.3022 0.2500 0.1250  2 Ir 2.55
Sb5 0.6978 0.7500 0.1250  2 Ir 2.55
Sb6 0.7500 0.1978 0.3750  2 Ir 2.55
Sb7 0.7500 0.3022 0.8750  2 Ir 2.55
Sb8 0.8022 0.7500 0.6250  2 Ir 2.55
Ir1 0.0000 0.0000 0.5000  4 Sb 2.55
Ir2 0.0000 0.5000 0.7500  4 Sb 2.55
Ir3 0.5000 0.0000 0.2500  4 Sb 2.55
Ir4 0.5000 0.5000 0.0000  4 Sb 2.55


6.
## InSb2Ir (PBE)

Data for a relaxed structure of InSb2Ir.

Values from the calculation:
Total DFT energy (no corrections)   -5.035 eV per atom
Energy relative to the elements, uncorrected   -74 meV per atom
DOS(E_F)   4.68 states/eV per cell

abc: 7.0399 4.0692 7.4655
angles: 90.00 108.59 90.00
Closest atoms and distances in Å follow each position.
Fractional positions:
In1 0.0000 0.0000 0.0000  6 Sb 3.23-3.24
In2 0.5000 0.5000 0.0000  6 Sb 3.23-3.24
Sb1 0.2290 0.0000 0.6854  3 Ir 2.69
Sb2 0.2710 0.5000 0.3146  3 Ir 2.69
Sb3 0.7290 0.5000 0.6854  3 Ir 2.69
Sb4 0.7710 0.0000 0.3146  3 Ir 2.69
Ir1 0.0000 0.5000 0.5000  6 Sb 2.69
Ir2 0.5000 0.0000 0.5000  6 Sb 2.69


7.
## InSb2Ir (PBE)

Data for a relaxed structure of InSb2Ir.

Values from the calculation:
Total DFT energy (no corrections)   -5.106 eV per atom
Energy relative to the elements, uncorrected   -145 meV per atom
DOS(E_F)   4.86 states/eV per cell

abc: 5.2547 9.5884 4.1945
angles: 90.00 90.00 90.00
Closest atoms and distances in Å follow each position.
Fractional positions:
In1 0.0000 0.0000 0.0000  2 Ir 2.63
In2 0.5000 0.5000 0.0000  2 Ir 2.63
Sb1 0.0000 0.3278 0.5000  2 Ir 2.67
Sb2 0.0000 0.6722 0.5000  2 Ir 2.67
Sb3 0.5000 0.1722 0.5000  2 Ir 2.67
Sb4 0.5000 0.8278 0.5000  2 Ir 2.67
Ir1 0.0000 0.5000 0.0000  2 In 2.63, 4 Sb 2.67
Ir2 0.5000 0.0000 0.0000  2 In 2.63, 4 Sb 2.67


8.
## InSbIr2 (PBE)

Data for a relaxed structure of InSbIr2.

Values from the calculation:
Total DFT energy (no corrections)   -5.611 eV per atom
Energy relative to the elements, uncorrected   535 meV per atom
DOS(E_F)   10.11 states/eV per cell

abc: 6.0886 6.0886 11.4477
angles: 90.00 90.00 90.00
Closest atoms and distances in Å follow each position.
Fractional positions:
In1 0.0000 0.0000 0.0000  4 Ir 2.64
In2 0.0000 0.5000 0.2500  4 Ir 2.64
In3 0.5000 0.0000 0.7500  4 Ir 2.64
In4 0.5000 0.5000 0.5000  4 Ir 2.64
Sb1 0.0000 0.0000 0.5000  4 Ir 2.53
Sb2 0.0000 0.5000 0.7500  4 Ir 2.53
Sb3 0.5000 0.0000 0.2500  4 Ir 2.53
Sb4 0.5000 0.5000 0.0000  4 Ir 2.53
Ir1 0.2358 0.2500 0.6250  2 Sb 2.53, 2 In 2.64
Ir2 0.2500 0.7358 0.8750  2 Sb 2.53, 2 In 2.64
Ir3 0.2500 0.7642 0.3750  2 Sb 2.53, 2 In 2.64
Ir4 0.2642 0.2500 0.1250  2 Sb 2.53, 2 In 2.64
Ir5 0.7358 0.7500 0.1250  2 Sb 2.53, 2 In 2.64
Ir6 0.7500 0.2358 0.3750  2 Sb 2.53, 2 In 2.64
Ir7 0.7500 0.2642 0.8750  2 Sb 2.53, 2 In 2.64
Ir8 0.7642 0.7500 0.6250  2 Sb 2.53, 2 In 2.64